# ReAsIr3 | Alexandria via LeMat-Bulk | PBE | optimized geometry
# - DFT total energy: -7.0028 eV/atom
# - Spin magnetization: 0.00 μB per cell
# - Calculated volume: 107 Å³ per cell
# - N(E_F): 5.93 states/eV/f.u.
data_ReAsIr3
_cell_length_a 4.7434
_cell_length_b 4.7434
_cell_length_c 4.7434
_cell_angle_alpha 90.00
_cell_angle_beta 90.00
_cell_angle_gamma 90.00
_symmetry_space_group_name_H-M 'P m -3 m'
_symmetry_Int_Tables_number 221
_symmetry_space_group_name_Hall '-P 4 2 3'
loop_
_atom_site_label
_atom_site_fract_x
_atom_site_fract_y
_atom_site_fract_z
Re1 0.0000 0.0000 0.0000
As1 0.5000 0.5000 0.5000
Ir1 0.0000 0.0000 0.5000